Here is an optimized crystal structure of Rb4CeU3S8 from Alexandria. Energies are from PBE. Values from VASP.

Output
Total energy   -6.248 eV/atom

```
&SYSTEM
  ibrav = 0, nat = 16, ntyp = 4
/
ATOMIC_SPECIES
Rb 85.47 Rb.upf
Ce 140.12 Ce.upf
U 238.03 U.upf
S 32.06 S.upf
ATOMIC_POSITIONS crystal
Rb 0.0000 0.0000 0.0000
Rb 0.0000 0.5000 0.5000
Rb 0.5000 0.0000 0.5000
Rb 0.5000 0.5000 0.0000
Ce 0.5000 0.5000 0.5000
U 0.0000 0.0000 0.5000
U 0.0000 0.5000 0.0000
U 0.5000 0.0000 0.0000
S 0.2250 0.7352 0.7352
S 0.2306 0.2306 0.2306
S 0.2648 0.2648 0.7750
S 0.2648 0.7750 0.2648
S 0.7352 0.2250 0.7352
S 0.7352 0.7352 0.2250
S 0.7694 0.7694 0.7694
S 0.7750 0.2648 0.2648
CELL_PARAMETERS angstrom
4.1057 2.3704 7.7506
-4.1057 2.3704 7.7506
0.0000 -4.7409 7.7506
```

=====

Here is an optimized crystal structure of PmDy6In3 from Alexandria. Energies are from PBE. Values from VASP.

Output
Formation energy from the elements   -0.14 eV/atom

```
&SYSTEM
  ibrav = 0, nat = 20, ntyp = 3
/
ATOMIC_SPECIES
Pm 145.00 Pm.upf
Dy 162.50 Dy.upf
In 114.82 In.upf
ATOMIC_POSITIONS crystal
Pm 0.2172 0.7828 0.5000
Pm 0.7828 0.2172 0.0000
Dy 0.0490 0.9510 0.7841
Dy 0.0751 0.4499 0.2878
Dy 0.2344 0.3007 0.9748
Dy 0.3007 0.2344 0.4748
Dy 0.3010 0.6990 0.9568
Dy 0.4499 0.0751 0.7878
Dy 0.5501 0.9249 0.2878
Dy 0.6990 0.3010 0.4568
Dy 0.6993 0.7656 0.9748
Dy 0.7656 0.6993 0.4748
Dy 0.9249 0.5501 0.7878
Dy 0.9510 0.0490 0.2841
In 0.0134 0.2790 0.6500
In 0.2790 0.0134 0.1500
In 0.4465 0.5535 0.2615
In 0.5535 0.4465 0.7615
In 0.7210 0.9866 0.6500
In 0.9866 0.7210 0.1500
CELL_PARAMETERS angstrom
5.2519 -7.6156 0.0000
5.2519 7.6156 0.0000
0.0000 0.0000 7.7288
```

=====

Here is an optimized crystal structure of HoReP from Alexandria. Energies are from PBE. Values from VASP.

Output
Formation energy from the elements   -0.46 eV/atom

```
&SYSTEM
  ibrav = 0, nat = 6, ntyp = 3
/
ATOMIC_SPECIES
Ho 164.93 Ho.upf
Re 186.21 Re.upf
P 30.97 P.upf
ATOMIC_POSITIONS crystal
Ho 0.1121 0.1121 0.1121
Ho 0.8879 0.8879 0.8879
Re 0.3655 0.3655 0.3655
Re 0.6345 0.6345 0.6345
P 0.2788 0.2788 0.2788
P 0.7212 0.7212 0.7212
CELL_PARAMETERS angstrom
1.9753 1.1405 9.2908
-1.9753 1.1405 9.2908
0.0000 -2.2809 9.2908
```

=====

Here is an optimized crystal structure of Sc6Tc2Ag from Alexandria. Energies are from PBE. Values from VASP.

Output
Formation energy from the elements   -0.16 eV/atom

```
&SYSTEM
  ibrav = 0, nat = 18, ntyp = 3
/
ATOMIC_SPECIES
Sc 44.96 Sc.upf
Tc 98.00 Tc.upf
Ag 107.87 Ag.upf
ATOMIC_POSITIONS crystal
Sc 0.0442 0.2484 0.7958
Sc 0.1870 0.2764 0.4635
Sc 0.1870 0.7236 0.9106
Sc 0.3346 0.0258 0.6912
Sc 0.3346 0.6435 0.3088
Sc 0.4525 0.2484 0.2042
Sc 0.5475 0.7516 0.7958
Sc 0.6654 0.3565 0.6912
Sc 0.6654 0.9742 0.3088
Sc 0.8130 0.2764 0.0894
Sc 0.8130 0.7236 0.5365
Sc 0.9558 0.7516 0.2042
Tc 0.1219 0.6219 0.5000
Tc 0.3262 0.0000 0.3262
Tc 0.6738 0.0000 0.6738
Tc 0.8781 0.3781 0.5000
Ag 0.0000 0.0000 0.0000
Ag 0.5000 0.5000 0.0000
CELL_PARAMETERS angstrom
-4.3750 4.4954 4.8808
4.3750 -4.4954 4.8808
4.3750 4.4954 -4.8808
```